No. 1
Computed, not measured: a crystal of CaTaZn2 relaxed with PBEsol at the meta-GGA SCAN level of DFT.

a = 2.7790 Å, b = 5.1173 Å, c = 5.4653 Å
α = 107.61°, β = 104.73°, γ = 90.00°
Element x y z (fractional)
Zn: 0.9800 0.0508 0.9599
Zn: 0.2746 0.7121 0.5491
Ca: 0.5175 0.5576 0.0351
Ta: 0.7280 0.1795 0.4559

As for the volume: 17.8 A^3/atom. Its energy of formation from the pure elements is 0.199 eV per atom. As for the magnetization: 0.00 μB/atom. As for the crystal system: monoclinic.



No. 2
Computed, not measured: a crystal of Ca4TaZn relaxed with PBEsol at the meta-GGA SCAN level of DFT.

a = 6.2506 Å, b = 6.2506 Å, c = 6.2506 Å
α = 60.00°, β = 60.00°, γ = 60.00°
Each line ends with the local moment (μB).
Element x y z (fractional)
Ca: 0.3754 0.3754 0.3754  0.12
Ca: 0.3754 0.3754 0.8737  0.12
Ca: 0.8737 0.3754 0.3754  0.12
Ca: 0.3754 0.8737 0.3754  0.12
Ta: 0.7500 0.7500 0.7500  1.99
Zn: 0.0000 0.0000 0.0000  -0.02

As for the volume: 28.8 A^3/atom. Its energy of formation from the pure elements is 1.006 eV per atom. As for the magnetization: 0.84 μB/atom. As for the crystal system: cubic.